Entry from the Alexandria database: Sr4Fe6F19 after structural relaxation (PBE with a Hubbard U).

Symmetry: No. 197
D(E_F) in states/eV/cell: 5.8
Total magnetization in μB per cell: 23.98
Electronic total energy in eV per cell: -160.64

a = 8.0714 Å, b = 8.0714 Å, c = 8.0714 Å
α = 109.47°, β = 109.47°, γ = 109.47°
Fractional coordinates of all 29 atoms:
Sr 0.0000 0.0000 0.3203
Sr 0.0000 0.3203 0.0000
Sr 0.3203 0.0000 0.0000
Sr 0.6797 0.6797 0.6797
Fe 0.1593 0.5000 0.6593
Fe 0.3407 0.8407 0.5000
Fe 0.5000 0.3407 0.8407
Fe 0.5000 0.6593 0.1593
Fe 0.6593 0.1593 0.5000
Fe 0.8407 0.5000 0.3407
F 0.0000 0.0000 0.0000
F 0.0000 0.3272 0.3272
F 0.0000 0.6728 0.6728
F 0.0275 0.6542 0.2616
F 0.2341 0.6267 0.9725
F 0.2616 0.0275 0.6542
F 0.3272 0.0000 0.3272
F 0.3272 0.3272 0.0000
F 0.3458 0.3733 0.6074
F 0.3733 0.6074 0.3458
F 0.3926 0.7659 0.7384
F 0.6074 0.3458 0.3733
F 0.6267 0.9725 0.2341
F 0.6542 0.2616 0.0275
F 0.6728 0.0000 0.6728
F 0.6728 0.6728 0.0000
F 0.7384 0.3926 0.7659
F 0.7659 0.7384 0.3926
F 0.9725 0.2341 0.6267